No. 1
8
Lattice="-4.623 0.790 2.443 -4.020 -3.340 -0.804 -0.072 -5.905 7.498" Properties=species:S:1:pos:R:3 comment="PBE NdDy2MgTl4, relaxed" spacegroup="R-3m (166)" final_energy_ev_per_fu=-27.39 dos_ef_per_ev_cell=4.683 pbc="T T T"
Nd 0.000 0.000 0.000
Tl -5.387 -2.375 2.020
Mg -4.358 -4.228 4.568
Dy -2.124 -2.213 2.420
Dy -6.591 -6.242 6.717
Tl -1.129 -4.003 4.883
Tl -3.328 -6.080 7.116
Tl -7.586 -4.452 4.254

---

No. 2
20
Lattice="-5.127 -6.221 -5.254 3.756 -6.257 4.961 -7.092 3.976 3.430" Properties=species:S:1:pos:R:3 comment="PBE Nd6Dy2TmMg, relaxed" spacegroup="C2/c (15)" final_energy_ev_per_fu=-42.72 dos_ef_per_ev_cell=27.985 pbc="T T T"
Nd -0.834 -7.705 1.312
Nd -2.219 -4.349 1.437
Nd -0.880 -6.435 4.837
Tm -10.704 -0.910 -0.478
Nd -1.495 -3.104 4.635
Dy -4.278 -5.006 4.039
Nd -9.594 -3.743 1.342
Nd -6.244 -4.153 1.700
Nd -5.203 1.945 2.961
Nd -7.583 -2.067 -1.700
Mg -3.932 -1.770 2.743
Nd -7.629 -0.797 1.824
Nd -3.260 -10.447 0.175
Dy -0.560 -1.388 1.874
Tm 2.241 -7.593 3.614
Dy -4.185 -3.496 -0.903
Nd -6.967 -5.399 -1.499
Nd 1.131 -4.759 1.795
Dy -7.903 -7.114 1.262
Mg -4.531 -6.733 0.393

---

No. 3
4
Lattice="3.450 -0.001 0.001 -0.001 3.486 0.002 -1.722 -0.004 10.203" Properties=species:S:1:pos:R:3 comment="PBE NdDyTmMg, relaxed" spacegroup="Pm (6)" final_energy_ev_per_fu=-15.11 dos_ef_per_ev_cell=6.340 pbc="T T T"
Tm 0.000 1.498 1.082
Dy 0.002 3.238 8.841
Nd -0.002 1.496 5.730
Mg 1.729 3.236 3.339

---

No. 4
20
Lattice="-3.744 5.051 2.015 -7.868 -1.875 -7.461 -0.014 -3.227 10.520" Properties=species:S:1:pos:R:3 comment="PBE Nd2Dy6TmMg, relaxed" spacegroup="C2/c (15)" final_energy_ev_per_fu=-42.19 dos_ef_per_ev_cell=29.131 pbc="T T T"
Nd -8.311 -1.097 1.778
Dy -6.124 -0.658 4.470
Dy -5.503 0.608 0.605
Dy -3.399 -0.934 9.006
Dy -10.814 2.546 -2.676
Tm -2.874 0.571 11.912
Tm -8.752 -0.621 -6.837
Dy -6.373 0.150 7.917
Nd -6.480 3.795 1.346
Dy -5.598 -2.952 0.379
Mg -8.371 1.517 -0.672
Mg -3.255 -1.567 5.747
Dy -6.028 2.902 4.695
Dy -5.253 -0.200 -2.843
Nd -3.315 1.047 3.297
Dy -3.385 1.682 6.727
Dy -8.227 0.884 -3.931
Dy -0.812 -2.596 7.751
Dy -8.241 -1.732 -1.653
Nd -5.147 -3.845 3.729

---

No. 5
8
Lattice="5.745 0.000 0.000 0.000 5.548 1.504 0.000 3.512 9.005" Properties=species:S:1:pos:R:3 comment="PBE Nd4DyTm2Mg, relaxed" spacegroup="P4/mmm (123)" final_energy_ev_per_fu=-33.85 dos_ef_per_ev_cell=10.008 pbc="T T T"
Nd 5.745 2.245 2.701
Dy 2.872 2.774 0.752
Nd 5.745 6.815 7.808
Mg 0.000 4.530 5.255
Nd 2.872 4.043 7.048
Tm 0.000 5.548 1.504
Nd 2.872 5.017 3.462
Tm 2.872 1.756 4.503

---

No. 6
12
Lattice="6.216 -0.002 0.000 -3.108 5.383 0.000 -1.039 -1.799 11.559" Properties=species:S:1:pos:R:3 comment="PBE Nd6Dy2Tm3Mg, relaxed" spacegroup="C2/m (12)" final_energy_ev_per_fu=-52.57 dos_ef_per_ev_cell=11.834 pbc="T T T"
Tm 4.144 -0.005 5.780
Nd 2.071 3.586 2.904
Tm 1.034 1.791 5.780
Dy -0.001 3.588 0.000
Tm -2.076 3.587 5.780
Nd 2.065 -0.005 2.893
Mg 0.000 0.000 0.000
Nd 0.004 3.586 8.666
Dy 3.108 1.792 0.000
Nd -1.036 1.786 2.893
Nd 3.104 1.795 8.666
Nd -0.003 -0.005 8.655

---

No. 7
12
Lattice="6.172 -0.002 0.008 -3.087 5.345 0.008 -1.051 -1.820 11.492" Properties=species:S:1:pos:R:3 comment="PBE Nd3Dy6Tm2Mg, relaxed" spacegroup="C2/m (12)" final_energy_ev_per_fu=-52.03 dos_ef_per_ev_cell=16.861 pbc="T T T"
Dy -0.011 3.538 8.709
Tm 3.082 1.782 0.008
Nd 1.017 1.761 5.754
Nd 4.113 -0.027 5.754
Nd -2.079 3.549 5.754
Mg 0.000 0.000 0.000
Tm 0.004 3.560 0.008
Dy 2.046 -0.016 2.799
Dy 3.070 1.759 8.709
Dy -0.014 -0.025 8.692
Dy -1.036 1.764 2.799
Dy 2.049 3.547 2.816

---

No. 8
4
Lattice="5.530 0.000 0.000 2.765 4.789 0.000 2.765 1.596 4.515" Properties=species:S:1:pos:R:3 comment="PBE NdDyTmMg, relaxed" spacegroup="F-43m (216)" final_energy_ev_per_fu=-15.34 dos_ef_per_ev_cell=4.531 pbc="T T T"
Mg 0.000 0.000 0.000
Tm 5.530 3.193 2.258
Nd 8.295 4.789 3.387
Dy 2.765 1.596 1.129